# DyZnInGa (PBE-GGA, relaxed)
# calculated total energy	-3.138	eV/atom
# ρ	8.04	Mg/m³
# V	21.3	A^3/atom
# SG	F-43m, No. 216
data_DyZnInGa
_chemical_formula_sum 'Dy1 Zn1 In1 Ga1'
_symmetry_space_group_name_H-M 'P 1'
_symmetry_Int_Tables_number 1
_cell_length_a 4.938
_cell_length_b 4.938
_cell_length_c 4.938
_cell_angle_alpha 60.00
_cell_angle_beta 60.00
_cell_angle_gamma 60.00
loop_
_symmetry_equiv_pos_as_xyz
'x,y,z'
loop_
_atom_site_label
_atom_site_fract_x
_atom_site_fract_y
_atom_site_fract_z
_atom_site_occupancy
Zn1 0.750 0.750 0.750 1
Ga1 0.250 0.250 0.250 1
In1 0.500 0.500 0.500 1
Dy1 0.000 0.000 0.000 1